1.
Material: NaPrCoSe3
Method: DFT, PBE-GGA
State: relaxed

```
data_NaPrCoSe3
_chemical_formula_sum 'Na4 Pr4 Co4 Se12'
_symmetry_space_group_name_H-M 'P n m a'
_symmetry_Int_Tables_number 62
_cell_length_a 11.5414
_cell_length_b 4.1525
_cell_length_c 12.0374
_cell_angle_alpha 90.00
_cell_angle_beta 90.00
_cell_angle_gamma 90.00
loop_
_symmetry_equiv_pos_as_xyz
'x,y,z'
'-x,-y,-z'
'-x+1/2,-y,z+1/2'
'x+1/2,y,-z+1/2'
'x+1/2,-y+1/2,-z+1/2'
'-x+1/2,y+1/2,z+1/2'
'-x,y+1/2,-z'
'x,-y+1/2,z'
loop_
_atom_site_label
_atom_site_type_symbol
_atom_site_fract_x
_atom_site_fract_y
_atom_site_fract_z
Na1 Na 0.1727 0.2500 0.0039
Pr1 Pr 0.0194 0.2500 0.6811
Co1 Co 0.2487 0.7500 0.7921
Se1 Se 0.0539 0.7500 0.8551
Se2 Se 0.1176 0.2500 0.4416
Se3 Se 0.2171 0.7500 0.1938
```

- Crystal system: orthorhombic
- Polymorph energy (0 for the lowest one): 0.0 meV/atom

=====

2.
Material: GaNiW4C2
Method: DFT, PBE-GGA
State: relaxed

```
data_GaNiW4C2
_chemical_formula_sum 'Ga1 Ni1 W4 C2'
_symmetry_space_group_name_H-M 'P -6 m 2'
_symmetry_Int_Tables_number 187
_symmetry_space_group_name_Hall 'P -6 2'
_cell_length_a 3.0743
_cell_length_b 3.0743
_cell_length_c 12.8623
_cell_angle_alpha 90.00
_cell_angle_beta 90.00
_cell_angle_gamma 120.00
loop_
_atom_site_label
_atom_site_type_symbol
_atom_site_fract_x
_atom_site_fract_y
_atom_site_fract_z
Ga1 Ga 0.0000 0.0000 0.0000
Ni1 Ni 0.3333 0.6667 0.5000
W1 W 0.0000 0.0000 0.3474
W2 W 0.3333 0.6667 0.1665
C1 C 0.6667 0.3333 0.2563
```

- Crystal system: hexagonal

=====

What mass density values result from the calculations? In sequence: 5.29 14.00 g/cm³.
What VASP energy values result from the calculations? In sequence: -5.01 -9.71 eV/atom.